Entry from Alexandria via LeMat-Bulk: an optimized crystal structure of HfTaZn (PBE-GGA).

## Properties
Uncorrected energy in eV per atom: -7.67
Energy of formation from the pure elements in meV per atom: 26
Total magnetic moment in μB/f.u.: 0.00
Symmetry: I4mm
Density in Mg/m³: 12.8

```
3
Lattice="-1.644 1.644 5.109 1.644 -1.644 5.109 1.644 1.644 -5.109" Properties=species:S:1:pos:R:3 pbc="T T T"
Hf 0.000 0.000 0.000
Ta 0.000 0.000 3.245
Zn 0.000 0.000 6.832
```

Entry from Alexandria via LeMat-Bulk: an optimized crystal structure of Hf2Ta2Zn (PBE-GGA).

## Properties
Uncorrected energy in eV per atom: -8.76
Energy of formation from the pure elements in meV per atom: 216
Total magnetic moment in μB/f.u.: 0.00
Symmetry: P4/mbm
Density in Mg/m³: 12.9

```
10
Lattice="7.084 0.000 0.000 0.000 7.084 0.000 0.000 0.000 4.013" Properties=species:S:1:pos:R:3 pbc="T T T"
Hf 1.187 2.355 0.000
Hf 2.355 5.897 0.000
Hf 4.729 1.187 0.000
Hf 5.897 4.729 0.000
Ta 0.940 4.483 2.006
Ta 2.602 0.940 2.006
Ta 4.483 6.144 2.006
Ta 6.144 2.602 2.006
Zn 0.000 0.000 2.006
Zn 3.542 3.542 2.006
```

Entry from Alexandria via LeMat-Bulk: an optimized crystal structure of Hf3TaZn2 (PBE-GGA).

## Properties
Uncorrected energy in eV per atom: -7.48
Energy of formation from the pure elements in meV per atom: -106
Total magnetic moment in μB/f.u.: 0.00
Symmetry: P4/mmm
Density in Mg/m³: 12.4

```
6
Lattice="3.318 0.000 0.000 0.000 3.318 0.000 0.000 0.000 10.317" Properties=species:S:1:pos:R:3 pbc="T T T"
Hf 0.000 0.000 0.000
Hf 0.000 0.000 3.378
Hf 0.000 0.000 6.939
Ta 1.659 1.659 5.159
Zn 1.659 1.659 1.665
Zn 1.659 1.659 8.653
```

Entry from Alexandria via LeMat-Bulk: an optimized crystal structure of HfTaZn (PBE-GGA).

## Properties
Uncorrected energy in eV per atom: -7.68
Energy of formation from the pure elements in meV per atom: 12
Total magnetic moment in μB/f.u.: 0.00
Symmetry: Aem2
Density in Mg/m³: 12.7

```
6
Lattice="12.579 0.000 0.000 0.000 1.987 2.214 0.000 -1.987 2.214" Properties=species:S:1:pos:R:3 pbc="T T T"
Hf 2.932 -0.994 2.214
Hf 9.647 0.994 2.214
Ta 5.144 0.994 1.992
Ta 7.434 -0.994 1.992
Zn 0.830 0.994 2.220
Zn 11.749 -0.994 2.220
```

Entry from Alexandria via LeMat-Bulk: an optimized crystal structure of HfTa2Zn2 (PBE-GGA).

## Properties
Uncorrected energy in eV per atom: -7.16
Energy of formation from the pure elements in meV per atom: 81
Total magnetic moment in μB/f.u.: 0.00
Symmetry: P4/mbm
Density in Mg/m³: 12.8

```
10
Lattice="7.303 0.000 0.000 0.000 7.303 0.000 0.000 0.000 3.271" Properties=species:S:1:pos:R:3 pbc="T T T"
Hf 0.000 0.000 0.000
Hf 3.651 3.651 0.000
Ta 1.306 2.345 1.636
Ta 2.345 5.996 1.636
Ta 4.957 1.306 1.636
Ta 5.996 4.957 1.636
Zn 0.872 4.524 0.000
Zn 2.779 0.872 0.000
Zn 4.524 6.430 0.000
Zn 6.430 2.779 0.000
```

Entry from Alexandria via LeMat-Bulk: an optimized crystal structure of HfTaZn (PBE-GGA).

## Properties
Uncorrected energy in eV per atom: -7.48
Energy of formation from the pure elements in meV per atom: 212
Total magnetic moment in μB/f.u.: 0.00
Symmetry: P3m1
Density in Mg/m³: 12.7

```
3
Lattice="4.836 0.000 0.000 -2.418 4.188 0.000 0.000 0.000 2.751" Properties=species:S:1:pos:R:3 pbc="T T T"
Hf 0.000 0.000 0.000
Ta 0.000 2.792 1.495
Zn 2.418 1.396 1.064
```

Entry from Alexandria via LeMat-Bulk: an optimized crystal structure of HfTa2Zn (PBE-GGA).

## Properties
Uncorrected energy in eV per atom: -8.17
Energy of formation from the pure elements in meV per atom: 564
Total magnetic moment in μB/f.u.: 0.00
Symmetry: I-42d
Density in Mg/m³: 12.9

```
8
Lattice="-3.789 3.789 2.707 3.789 -3.789 2.707 3.789 3.789 -2.707" Properties=species:S:1:pos:R:3 pbc="T T T"
Hf 0.000 0.000 0.000
Hf 0.000 3.789 1.354
Ta 1.894 -1.685 2.031
Ta 2.104 1.894 0.677
Ta 1.894 5.473 -0.677
Ta 1.685 1.894 3.384
Zn 3.789 0.000 1.354
Zn 0.000 0.000 2.707
```

Entry from Alexandria via LeMat-Bulk: an optimized crystal structure of HfTaZn3 (PBE-GGA).

## Properties
Uncorrected energy in eV per atom: -3.98
Energy of formation from the pure elements in meV per atom: 1143
Total magnetic moment in μB/f.u.: 0.00
Symmetry: Pm-3m
Density in Mg/m³: 8.4

```
5
Lattice="4.795 0.000 0.000 0.000 4.795 0.000 0.000 0.000 4.795" Properties=species:S:1:pos:R:3 pbc="T T T"
Hf 0.000 0.000 0.000
Ta 2.398 2.398 2.398
Zn 0.000 2.398 2.398
Zn 2.398 0.000 2.398
Zn 2.398 2.398 0.000
```

Entry from Alexandria via LeMat-Bulk: an optimized crystal structure of HfTaZn3 (PBE-GGA).

## Properties
Uncorrected energy in eV per atom: -3.49
Energy of formation from the pure elements in meV per atom: 1640
Total magnetic moment in μB/f.u.: 0.86
Symmetry: Pm-3m
Density in Mg/m³: 8.1

```
5
Lattice="4.844 0.000 0.000 0.000 4.844 0.000 0.000 0.000 4.844" Properties=species:S:1:pos:R:3 pbc="T T T"
Hf 0.000 0.000 0.000
Ta 2.422 2.422 2.422
Zn 0.000 0.000 2.422
Zn 0.000 2.422 0.000
Zn 2.422 0.000 0.000
```

Entry from Alexandria via LeMat-Bulk: an optimized crystal structure of HfTaZn4 (PBE-GGA).

## Properties
Uncorrected energy in eV per atom: -4.60
Energy of formation from the pure elements in meV per atom: -119
Total magnetic moment in μB/f.u.: 0.39
Symmetry: F-43m
Density in Mg/m³: 10.9

```
6
Lattice="0.000 3.614 3.614 3.614 0.000 3.614 3.614 3.614 0.000" Properties=species:S:1:pos:R:3 pbc="T T T"
Hf 0.000 0.000 0.000
Ta 1.807 1.807 1.807
Zn 4.516 2.713 2.713
Zn 2.713 4.516 2.713
Zn 2.713 2.713 4.516
Zn 4.516 4.516 4.516
```

Entry from Alexandria via LeMat-Bulk: an optimized crystal structure of HfTa3Zn (PBE-GGA).

## Properties
Uncorrected energy in eV per atom: -8.23
Energy of formation from the pure elements in meV per atom: 1129
Total magnetic moment in μB/f.u.: 0.00
Symmetry: Pm-3m
Density in Mg/m³: 12.4

```
5
Lattice="4.724 0.000 0.000 0.000 4.724 0.000 0.000 0.000 4.724" Properties=species:S:1:pos:R:3 pbc="T T T"
Hf 0.000 0.000 0.000
Ta 0.000 2.362 2.362
Ta 2.362 0.000 2.362
Ta 2.362 2.362 0.000
Zn 2.362 2.362 2.362
```

Entry from Alexandria via LeMat-Bulk: an optimized crystal structure of Hf4TaZn5 (PBE-GGA).

## Properties
Uncorrected energy in eV per atom: -5.91
Energy of formation from the pure elements in meV per atom: -108
Total magnetic moment in μB/f.u.: 0.00
Symmetry: P4/mmm
Density in Mg/m³: 11.5

```
10
Lattice="3.343 0.000 0.000 0.000 3.343 0.000 0.000 0.000 15.778" Properties=species:S:1:pos:R:3 pbc="T T T"
Hf 0.000 0.000 1.625
Hf 0.000 0.000 4.859
Hf 0.000 0.000 10.919
Hf 0.000 0.000 14.152
Ta 0.000 0.000 7.889
Zn 1.672 1.672 0.000
Zn 1.672 1.672 3.249
Zn 1.672 1.672 6.438
Zn 1.672 1.672 9.340
Zn 1.672 1.672 12.529
```

Entry from Alexandria via LeMat-Bulk: an optimized crystal structure of Hf2ZrTa (PBE-GGA).

## Properties
Uncorrected energy in eV per atom: -9.92
Energy of formation from the pure elements in meV per atom: 155
Total magnetic moment in μB/f.u.: 0.00
Symmetry: P4/mmm
Density in Mg/m³: 12.2

```
4
Lattice="4.430 0.000 0.000 0.000 4.430 0.000 0.000 0.000 4.380" Properties=species:S:1:pos:R:3 pbc="T T T"
Hf 0.000 2.215 0.000
Hf 2.215 0.000 0.000
Zr 0.000 0.000 2.190
Ta 2.215 2.215 2.190
```

Entry from Alexandria via LeMat-Bulk: an optimized crystal structure of HfZrTa2 (PBE-GGA).

## Properties
Uncorrected energy in eV per atom: -10.36
Energy of formation from the pure elements in meV per atom: 193
Total magnetic moment in μB/f.u.: 0.00
Symmetry: P4/mmm
Density in Mg/m³: 13.0

```
4
Lattice="3.427 0.000 0.000 0.000 3.427 0.000 0.000 0.000 6.859" Properties=species:S:1:pos:R:3 pbc="T T T"
Hf 0.000 0.000 0.000
Zr 0.000 0.000 3.429
Ta 1.714 1.714 1.712
Ta 1.714 1.714 5.147
```

Entry from Alexandria via LeMat-Bulk: an optimized crystal structure of HfZr3Ta (PBE-GGA).

## Properties
Uncorrected energy in eV per atom: -8.52
Energy of formation from the pure elements in meV per atom: 975
Total magnetic moment in μB/f.u.: 0.00
Symmetry: Pm-3m
Density in Mg/m³: 8.0

```
5
Lattice="5.093 0.000 0.000 0.000 5.093 0.000 0.000 0.000 5.093" Properties=species:S:1:pos:R:3 pbc="T T T"
Hf 0.000 0.000 0.000
Zr 0.000 2.546 2.546
Zr 2.546 0.000 2.546
Zr 2.546 2.546 0.000
Ta 2.546 2.546 2.546
```

Entry from Alexandria via LeMat-Bulk: an optimized crystal structure of Hf2ZrTa (PBE-GGA).

## Properties
Uncorrected energy in eV per atom: -9.91
Energy of formation from the pure elements in meV per atom: 164
Total magnetic moment in μB/f.u.: 0.00
Symmetry: Fm-3m
Density in Mg/m³: 12.4

```
4
Lattice="0.000 3.483 3.483 3.483 0.000 3.483 3.483 3.483 0.000" Properties=species:S:1:pos:R:3 pbc="T T T"
Hf 1.742 1.742 1.742
Hf 5.225 5.225 5.225
Zr 0.000 0.000 0.000
Ta 3.483 3.483 3.483
```

Entry from Alexandria via LeMat-Bulk: an optimized crystal structure of HfZrTa2 (PBE-GGA).

## Properties
Uncorrected energy in eV per atom: -10.35
Energy of formation from the pure elements in meV per atom: 197
Total magnetic moment in μB/f.u.: 0.00
Symmetry: Fm-3m
Density in Mg/m³: 13.0

```
4
Lattice="0.000 3.431 3.431 3.431 0.000 3.431 3.431 3.431 0.000" Properties=species:S:1:pos:R:3 pbc="T T T"
Hf 0.000 0.000 0.000
Zr 3.431 3.431 3.431
Ta 1.716 1.716 1.716
Ta 5.147 5.147 5.147
```

Entry from Alexandria via LeMat-Bulk: an optimized crystal structure of HfZrTa3 (PBE-GGA).

## Properties
Uncorrected energy in eV per atom: -9.22
Energy of formation from the pure elements in meV per atom: 1590
Total magnetic moment in μB/f.u.: 0.00
Symmetry: Pm-3m
Density in Mg/m³: 11.5

```
5
Lattice="4.900 0.000 0.000 0.000 4.900 0.000 0.000 0.000 4.900" Properties=species:S:1:pos:R:3 pbc="T T T"
Hf 0.000 0.000 0.000
Zr 2.450 2.450 2.450
Ta 0.000 0.000 2.450
Ta 0.000 2.450 0.000
Ta 2.450 0.000 0.000
```

Entry from Alexandria via LeMat-Bulk: an optimized crystal structure of HfZrTa (PBE-GGA).

## Properties
Uncorrected energy in eV per atom: -9.97
Energy of formation from the pure elements in meV per atom: 146
Total magnetic moment in μB/f.u.: 0.00
Symmetry: I4mm
Density in Mg/m³: 11.9

```
3
Lattice="-1.722 1.722 5.321 1.722 -1.722 5.321 1.722 1.722 -5.321" Properties=species:S:1:pos:R:3 pbc="T T T"
Hf 0.000 0.000 0.000
Zr 0.000 0.000 3.317
Ta 0.000 0.000 6.969
```

Entry from Alexandria via LeMat-Bulk: an optimized crystal structure of HfZrTa2 (PBE-GGA).

## Properties
Uncorrected energy in eV per atom: -9.83
Energy of formation from the pure elements in meV per atom: 718
Total magnetic moment in μB/f.u.: 0.00
Symmetry: I-42d
Density in Mg/m³: 12.4

```
8
Lattice="-3.844 3.844 2.869 3.844 -3.844 2.869 3.844 3.844 -2.869" Properties=species:S:1:pos:R:3 pbc="T T T"
Hf 0.000 0.000 0.000
Hf 0.000 3.844 1.434
Zr 3.844 0.000 1.434
Zr 0.000 0.000 2.869
Ta 5.766 1.917 -0.717
Ta 1.917 1.922 0.717
Ta -1.922 1.927 2.151
Ta 1.927 1.922 3.586
```

Entry from Alexandria via LeMat-Bulk: an optimized crystal structure of Hf2ZrTa (PBE-GGA).

## Properties
Uncorrected energy in eV per atom: -9.43
Energy of formation from the pure elements in meV per atom: 646
Total magnetic moment in μB/f.u.: 0.00
Symmetry: I-42d
Density in Mg/m³: 11.8

```
8
Lattice="-3.871 3.871 2.961 3.871 -3.871 2.961 3.871 3.871 -2.961" Properties=species:S:1:pos:R:3 pbc="T T T"
Hf 1.935 1.857 -0.740
Hf 2.014 -1.935 3.701
Hf 1.935 2.014 2.221
Hf 1.857 5.806 0.740
Zr 3.871 0.000 1.481
Zr 0.000 0.000 2.961
Ta 0.000 0.000 0.000
Ta 0.000 3.871 1.481
```

Entry from Alexandria via LeMat-Bulk: an optimized crystal structure of Hf3ZrTa (PBE-GGA).

## Properties
Uncorrected energy in eV per atom: -9.05
Energy of formation from the pure elements in meV per atom: 999
Total magnetic moment in μB/f.u.: 0.00
Symmetry: Pm-3m
Density in Mg/m³: 10.3

```
5
Lattice="5.063 0.000 0.000 0.000 5.063 0.000 0.000 0.000 5.063" Properties=species:S:1:pos:R:3 pbc="T T T"
Hf 0.000 0.000 2.531
Hf 0.000 2.531 0.000
Hf 2.531 0.000 0.000
Zr 2.531 2.531 2.531
Ta 0.000 0.000 0.000
```

Entry from Alexandria via LeMat-Bulk: an optimized crystal structure of Hf2ZrTa (PBE-GGA).

## Properties
Uncorrected energy in eV per atom: -9.95
Energy of formation from the pure elements in meV per atom: 127
Total magnetic moment in μB/f.u.: 0.00
Symmetry: Cm
Density in Mg/m³: 12.2

```
4
Lattice="2.475 -1.781 0.000 2.475 1.781 0.000 -0.907 0.000 9.695" Properties=species:S:1:pos:R:3 pbc="T T T"
Hf 0.000 0.000 0.000
Hf -0.032 0.000 5.117
Zr 2.918 0.000 2.516
Ta 1.966 0.000 7.389
```

Entry from Alexandria via LeMat-Bulk: an optimized crystal structure of HfZr14Ta (PBE-GGA).

## Properties
Uncorrected energy in eV per atom: -8.78
Energy of formation from the pure elements in meV per atom: 62
Total magnetic moment in μB/f.u.: 0.00
Symmetry: Amm2
Density in Mg/m³: 7.4

```
16
Lattice="9.613 0.000 0.000 0.000 3.953 4.823 0.000 -3.953 4.823" Properties=species:S:1:pos:R:3 pbc="T T T"
Hf 0.000 0.000 0.000
Zr 0.000 -1.722 7.063
Zr 0.000 1.722 7.063
Zr 2.230 0.000 2.291
Zr 2.332 -1.733 4.909
Zr 2.332 1.733 4.909
Zr 2.531 0.000 7.549
Zr 4.807 0.000 0.166
Zr 4.807 -1.690 2.781
Zr 4.807 1.690 2.781
Zr 4.807 0.000 5.481
Zr 7.083 0.000 7.549
Zr 7.282 -1.733 4.909
Zr 7.282 1.733 4.909
Zr 7.383 0.000 2.291
Ta 0.000 0.000 4.350
```

Entry from Alexandria via LeMat-Bulk: an optimized crystal structure of HfZrTa (PBE-GGA).

## Properties
Uncorrected energy in eV per atom: -9.99
Energy of formation from the pure elements in meV per atom: 130
Total magnetic moment in μB/f.u.: 0.00
Symmetry: P3m1
Density in Mg/m³: 11.9

```
3
Lattice="4.892 0.000 0.000 -2.446 4.237 0.000 0.000 0.000 3.035" Properties=species:S:1:pos:R:3 pbc="T T T"
Hf 0.000 0.000 0.000
Zr 2.446 1.412 1.773
Ta 0.000 2.824 1.219
```

Entry from Alexandria via LeMat-Bulk: an optimized crystal structure of HfZrTa2 (PBE-GGA).

## Properties
Uncorrected energy in eV per atom: -10.35
Energy of formation from the pure elements in meV per atom: 200
Total magnetic moment in μB/f.u.: 0.00
Symmetry: P4/mmm
Density in Mg/m³: 12.9

```
4
Lattice="5.163 0.000 0.000 0.000 5.163 0.000 0.000 0.000 3.047" Properties=species:S:1:pos:R:3 pbc="T T T"
Hf 0.000 0.000 0.000
Zr 2.581 2.581 0.000
Ta 0.000 2.581 1.524
Ta 2.581 0.000 1.524
```

Entry from Alexandria via LeMat-Bulk: an optimized crystal structure of HfZrTa4 (PBE-GGA).

## Properties
Uncorrected energy in eV per atom: -10.92
Energy of formation from the pure elements in meV per atom: 70
Total magnetic moment in μB/f.u.: 0.00
Symmetry: F-43m
Density in Mg/m³: 13.6

```
6
Lattice="0.000 3.926 3.926 3.926 0.000 3.926 3.926 3.926 0.000" Properties=species:S:1:pos:R:3 pbc="T T T"
Hf 0.000 0.000 0.000
Zr 1.963 1.963 1.963
Ta 4.908 2.944 2.944
Ta 2.944 4.908 2.944
Ta 2.944 2.944 4.908
Ta 4.908 4.908 4.908
```

Entry from Alexandria via LeMat-Bulk: an optimized crystal structure of Hf2ZrTa (PBE-GGA).

## Properties
Uncorrected energy in eV per atom: -9.93
Energy of formation from the pure elements in meV per atom: 150
Total magnetic moment in μB/f.u.: 0.00
Symmetry: R-3m
Density in Mg/m³: 12.1

```
4
Lattice="1.557 0.899 10.272 -1.557 0.899 10.272 0.000 -1.798 10.272" Properties=species:S:1:pos:R:3 pbc="T T T"
Hf 0.000 0.000 7.592
Hf 0.000 0.000 23.224
Zr 0.000 0.000 0.000
Ta 0.000 0.000 15.408
```